DFT (PBE with a Hubbard U) results for a relaxed structure of Cs2Ni3PbF12.

Cell lengths 7.7001, 7.7001, 7.7001 Å; angles 57.95, 57.95, 57.95 degrees
Last column: magnetic moment on the atom in μB.
Sites, in units of the cell vectors:
Cs  0.6034  0.6034  0.6034  0.00
Cs  0.3966  0.3966  0.3966  0.00
Ni  0.5000  0.0000  0.0000  1.84
Ni  0.0000  0.5000  0.0000  1.84
Ni  0.0000  0.0000  0.5000  1.84
Pb  0.0000  0.0000  0.0000  0.01
F  0.3123  0.3123  0.9205  0.05
F  0.9184  0.9184  0.3363  0.02
F  0.3363  0.9184  0.9184  0.02
F  0.9205  0.3123  0.3123  0.05
F  0.9184  0.3363  0.9184  0.02
F  0.3123  0.9205  0.3123  0.05
F  0.6877  0.6877  0.0795  0.05
F  0.0816  0.0816  0.6637  0.02
F  0.6637  0.0816  0.0816  0.02
F  0.0795  0.6877  0.6877  0.05
F  0.0816  0.6637  0.0816  0.02
F  0.6877  0.0795  0.6877  0.05

Mass density ... 4.7 g cm⁻³
Electronic total energy ... -4.261 eV per atom
Space-group type ... R-3m